Here is a relaxed structure of AcNd2HoTm4 from Alexandria via LeMat-Bulk. Energies are from PBE.

Structure (POSCAR):
```
AcNd2HoTm4
1.0
-3.053 8.199 3.968
-4.994 -4.810 6.649
10.783 -2.509 -4.369
Tm Nd Ac Ho
8 4 2 2
direct
0.259 0.242 0.006
0.742 0.759 0.506
0.742 0.232 0.987
0.258 0.241 0.494
0.258 0.768 0.013
0.268 0.758 0.513
0.732 0.242 0.487
0.741 0.758 0.994
0.500 0.000 0.000
0.500 0.000 0.500
0.000 0.000 0.500
0.500 0.500 0.000
0.000 0.500 0.500
0.000 0.500 0.000
0.500 0.500 0.500
0.000 0.000 0.000
```

Computed properties:
The space-group type is C2/c, No. 15. The calculation puts the energy of formation from the pure elements at 3.5 eV/f.u.

***

Here is a relaxed structure of AcNdHo2Tm4 from Alexandria via LeMat-Bulk. Energies are from PBE.

Structure (POSCAR):
```
AcNdHo2Tm4
1.0
9.424 -0.056 -1.762
-0.062 9.424 -1.762
-5.933 -5.937 8.382
Ac Ho Tm Nd
2 4 8 2
direct
0.000 0.500 0.000
0.000 0.500 0.500
0.000 0.000 0.500
0.500 0.000 0.000
0.500 0.500 0.000
0.500 0.000 0.500
0.259 0.767 0.513
0.741 0.233 0.487
0.740 0.759 0.495
0.259 0.240 0.995
0.260 0.241 0.505
0.741 0.760 0.005
0.267 0.759 0.013
0.733 0.241 0.987
0.000 0.000 0.000
0.500 0.500 0.500
```

Computed properties:
The space-group type is Imma, No. 74. The calculation puts the energy of formation from the pure elements at 3.6 eV/f.u.

***

Here is a relaxed structure of AcNd6Ho2Tm from Alexandria via LeMat-Bulk. Energies are from PBE.

Structure (POSCAR):
```
AcNd6Ho2Tm
1.0
9.237 -2.053 -2.130
1.001 8.772 -2.057
1.001 -2.381 8.690
Nd Ac Ho Tm
12 2 4 2
direct
0.814 0.445 0.995
0.117 0.711 0.489
0.054 0.125 0.757
0.686 0.005 0.555
0.946 0.875 0.243
0.883 0.289 0.511
0.554 0.757 0.125
0.186 0.555 0.005
0.383 0.511 0.289
0.617 0.489 0.711
0.446 0.243 0.875
0.314 0.995 0.445
0.750 0.028 0.972
0.250 0.972 0.028
0.452 0.793 0.684
0.952 0.684 0.793
0.048 0.316 0.207
0.548 0.207 0.316
0.750 0.586 0.414
0.250 0.414 0.586
```

Computed properties:
The space-group type is C2/c, No. 15. The calculation puts the energy of formation from the pure elements at 1.2 eV/f.u.

***

Here is a relaxed structure of AcNd2Y2Ho2 from Alexandria via LeMat-Bulk. Energies are from PBE.

Structure (POSCAR):
```
AcNd2Y2Ho2
1.0
5.164 0.000 0.000
-2.582 5.782 0.262
0.000 -1.579 8.008
Ho Ac Nd Y
2 1 2 2
direct
0.574 0.147 0.707
0.426 0.853 0.293
0.000 0.000 0.000
0.716 0.431 0.149
0.284 0.569 0.851
0.858 0.716 0.567
0.142 0.284 0.433
```

Computed properties:
The space-group type is C2/m, No. 12. The calculation puts the energy of formation from the pure elements at 0.3 eV/f.u.

***

Here is a relaxed structure of AcNd2Y5Ho from Alexandria via LeMat-Bulk. Energies are from PBE.

Structure (POSCAR):
```
AcNd2Y5Ho
1.0
8.789 0.000 0.000
0.000 8.789 0.000
-4.394 -4.394 7.971
Y Nd Ac Ho
10 4 2 2
direct
0.922 0.422 0.269
0.000 0.000 0.000
0.500 0.500 0.000
0.653 0.153 0.731
0.153 0.078 0.731
0.578 0.653 0.731
0.347 0.847 0.269
0.847 0.922 0.269
0.078 0.578 0.731
0.422 0.347 0.269
0.616 0.116 0.000
0.384 0.884 0.000
0.116 0.384 0.000
0.884 0.616 0.000
0.250 0.750 0.500
0.750 0.250 0.500
0.750 0.750 0.500
0.250 0.250 0.500
```

Computed properties:
The space-group type is I4/mcm, No. 140. The calculation puts the energy of formation from the pure elements at 2.4 eV/f.u.

***

Here is a relaxed structure of AcNd3YHo from Alexandria via LeMat-Bulk. Energies are from PBE.

Structure (POSCAR):
```
AcNd3YHo
1.0
-4.131 -3.269 -2.662
9.520 -3.827 -3.529
0.017 -4.485 5.481
Ac Nd Y Ho
2 6 2 2
direct
0.352 0.704 0.968
0.648 0.296 0.032
0.219 0.439 0.279
0.159 0.318 0.744
0.483 0.967 0.259
0.841 0.682 0.256
0.517 0.033 0.741
0.781 0.561 0.721
0.058 0.115 0.292
0.942 0.885 0.708
0.359 0.717 0.511
0.641 0.283 0.489
```

Computed properties:
The space-group type is C2/m, No. 12. The calculation puts the energy of formation from the pure elements at 1.3 eV/f.u.

***

Here is a relaxed structure of Ac2Nd5YHo from Alexandria via LeMat-Bulk. Energies are from PBE.

Structure (POSCAR):
```
Ac2Nd5YHo
1.0
-0.601 2.474 -5.245
-1.896 -10.571 -1.528
-10.634 1.620 1.982
Nd Ho Y Ac
10 2 2 4
direct
0.515 0.031 0.244
0.614 0.229 0.521
0.386 0.771 0.021
0.707 0.413 0.202
0.720 0.440 0.811
0.280 0.560 0.311
0.982 0.965 0.520
0.018 0.035 0.020
0.293 0.587 0.702
0.485 0.969 0.744
0.205 0.410 0.009
0.795 0.590 0.509
0.406 0.811 0.470
0.594 0.189 0.970
0.117 0.234 0.314
0.887 0.774 0.234
0.113 0.226 0.734
0.883 0.766 0.814
```

Computed properties:
The space-group type is Cmc2_1, No. 36. The calculation puts the energy of formation from the pure elements at 1.2 eV/f.u.

***

Here is a relaxed structure of AcNd2YHo5 from Alexandria via LeMat-Bulk. Energies are from PBE.

Structure (POSCAR):
```
AcNd2YHo5
1.0
-3.436 -5.484 6.049
2.992 -6.952 -4.603
6.901 6.444 3.277
Ac Ho Y Nd
2 10 2 4
direct
0.250 0.250 0.500
0.750 0.750 0.500
0.425 0.340 0.266
0.500 0.500 0.000
0.575 0.660 0.734
0.660 0.160 0.734
0.925 0.425 0.266
0.000 0.000 0.000
0.160 0.075 0.734
0.075 0.575 0.734
0.840 0.925 0.266
0.340 0.840 0.266
0.750 0.250 0.500
0.250 0.750 0.500
0.117 0.383 0.000
0.617 0.117 0.000
0.883 0.617 0.000
0.383 0.883 0.000
```

Computed properties:
The space-group type is I4/mcm, No. 140. The calculation puts the energy of formation from the pure elements at 2.3 eV/f.u.

***

Here is a relaxed structure of AcNdY3Ho from Alexandria via LeMat-Bulk. Energies are from PBE.

Structure (POSCAR):
```
AcNdY3Ho
1.0
5.729 0.000 0.000
-2.864 10.009 1.666
0.000 -1.206 7.204
Y Nd Ac Ho
6 2 2 2
direct
0.479 0.957 0.273
0.835 0.670 0.275
0.780 0.561 0.746
0.521 0.043 0.727
0.220 0.439 0.254
0.165 0.330 0.725
0.945 0.890 0.713
0.055 0.110 0.287
0.355 0.710 0.970
0.645 0.290 0.030
0.651 0.302 0.468
0.349 0.698 0.532
```

Computed properties:
The space-group type is C2/m, No. 12. The calculation puts the energy of formation from the pure elements at 1.3 eV/f.u.

***

Here is a relaxed structure of Ac2NdYHo from Alexandria via LeMat-Bulk. Energies are from PBE.

Structure (POSCAR):
```
Ac2NdYHo
1.0
6.740 0.000 0.000
0.000 8.807 1.628
0.000 -1.175 6.359
Ac Nd Ho Y
4 2 2 2
direct
0.289 0.704 0.250
0.289 0.296 0.250
0.711 0.296 0.750
0.711 0.704 0.750
0.418 0.000 0.750
0.582 0.000 0.250
0.000 0.000 0.000
0.000 0.000 0.500
0.817 0.500 0.250
0.183 0.500 0.750
```

Computed properties:
The space-group type is Pmma, No. 51. The calculation puts the energy of formation from the pure elements at 1.3 eV/f.u.

***

Here is a relaxed structure of AcNd5Y2Ho from Alexandria via LeMat-Bulk. Energies are from PBE.

Structure (POSCAR):
```
AcNd5Y2Ho
1.0
-1.929 -1.584 5.301
-5.017 -4.479 -6.403
8.040 -9.240 0.165
Ac Nd Ho Y
2 10 2 4
direct
0.616 0.232 0.924
0.384 0.768 0.424
0.767 0.535 0.130
0.062 0.124 0.072
0.423 0.845 0.766
0.421 0.842 0.087
0.233 0.466 0.219
0.579 0.158 0.587
0.233 0.465 0.630
0.767 0.534 0.719
0.938 0.876 0.572
0.577 0.155 0.266
0.253 0.505 0.924
0.747 0.495 0.424
0.113 0.227 0.425
0.937 0.875 0.277
0.887 0.773 0.925
0.063 0.125 0.777
```

Computed properties:
The space-group type is Cmc2_1, No. 36. The calculation puts the energy of formation from the pure elements at 0.7 eV/f.u.

***

Here is a relaxed structure of AcNdHoZn from Alexandria via LeMat-Bulk. Energies are from PBE.

Structure (POSCAR):
```
AcNdHoZn
1.0
3.706 0.000 0.000
0.000 3.706 0.000
0.000 0.000 9.020
Ho Ac Zn Nd
1 1 1 1
direct
0.500 0.500 0.379
0.000 0.000 0.080
0.000 0.000 0.558
0.500 0.500 0.767
```

Computed properties:
The space-group type is P4mm, No. 99. The polymorph energy (0 for the lowest one) comes out at 0 meV per atom. The calculation puts the energy of formation from the pure elements at -0.5 eV/f.u.

***

Here is a relaxed structure of AcNdHoZn from Alexandria via LeMat-Bulk. Energies are from PBE.

Structure (POSCAR):
```
AcNdHoZn
1.0
-2.922 4.567 -1.321
-2.830 2.742 3.951
1.744 5.018 1.707
Ho Zn Nd Ac
1 1 1 1
direct
0.750 0.750 0.750
0.000 0.000 0.000
0.250 0.250 0.250
0.500 0.500 0.500
```

Computed properties:
The space-group type is F-43m, No. 216. The polymorph energy (0 for the lowest one) comes out at 293 meV per atom. The calculation puts the energy of formation from the pure elements at 0.7 eV/f.u.

***

Here is a relaxed structure of AcHoNi2 from Alexandria via LeMat-Bulk. Energies are from PBE.

Structure (POSCAR):
```
AcHoNi2
1.0
4.575 0.000 0.000
2.288 3.962 0.000
2.288 1.321 5.120
Ni Ac Ho
2 1 1
direct
0.787 0.787 0.638
0.213 0.213 0.362
0.000 0.000 0.000
0.500 0.500 0.500
```

Computed properties:
The space-group type is R-3m, No. 166. The polymorph energy (0 for the lowest one) comes out at 0 meV per atom. The calculation puts the energy of formation from the pure elements at -1.0 eV/f.u.

***

Here is a relaxed structure of AcHoNi3 from Alexandria via LeMat-Bulk. Energies are from PBE.

Structure (POSCAR):
```
AcHoNi3
1.0
-3.155 -2.378 -1.013
-0.836 -0.574 3.952
-6.912 10.067 -2.106
Ni Ho Ac
6 2 2
direct
0.250 0.373 0.746
0.750 0.627 0.254
0.750 0.527 0.054
0.750 0.320 0.640
0.250 0.473 0.946
0.250 0.680 0.360
0.250 0.793 0.587
0.750 0.207 0.413
0.250 0.074 0.148
0.750 0.926 0.852
```

Computed properties:
The space-group type is Cmcm, No. 63. The calculation puts the energy of formation from the pure elements at -1.7 eV/f.u.

***

Here is a relaxed structure of AcHo2Ni from Alexandria via LeMat-Bulk. Energies are from PBE.

Structure (POSCAR):
```
AcHo2Ni
1.0
3.819 0.000 0.000
1.910 3.308 0.000
1.910 1.103 10.404
Ac Ho Ni
1 2 1
direct
0.000 0.000 0.000
0.119 0.119 0.644
0.881 0.881 0.356
0.500 0.500 0.500
```

Computed properties:
The space-group type is R-3m, No. 166. The polymorph energy (0 for the lowest one) comes out at 165 meV per atom. The calculation puts the energy of formation from the pure elements at 0.1 eV/f.u.

***

Here is a relaxed structure of AcHoNi2 from Alexandria via LeMat-Bulk. Energies are from PBE.

Structure (POSCAR):
```
AcHoNi2
1.0
4.994 0.000 0.000
2.497 4.325 0.000
2.497 1.442 4.077
Ni Ho Ac
2 1 1
direct
0.750 0.750 0.750
0.250 0.250 0.250
0.000 0.000 0.000
0.500 0.500 0.500
```

Computed properties:
The space-group type is Fm-3m, No. 225. The polymorph energy (0 for the lowest one) comes out at 57 meV per atom. The calculation puts the energy of formation from the pure elements at -0.8 eV/f.u.

***

Here is a relaxed structure of AcHo2Ni from Alexandria via LeMat-Bulk. Energies are from PBE.

Structure (POSCAR):
```
AcHo2Ni
1.0
-3.331 0.449 1.053
0.551 -2.212 2.686
2.561 6.897 5.156
Ho Ac Ni
2 1 1
direct
0.000 0.000 0.825
0.000 0.000 0.175
0.500 0.500 0.500
0.500 0.500 0.000
```

Computed properties:
The space-group type is P4/mmm, No. 123. The polymorph energy (0 for the lowest one) comes out at 0 meV per atom. The calculation puts the energy of formation from the pure elements at -0.6 eV/f.u.

***

Here is a relaxed structure of Ac2Ho2Ni15 from Alexandria via LeMat-Bulk. Energies are from PBE.

Structure (POSCAR):
```
Ac2Ho2Ni15
1.0
-4.158 2.636 -4.395
-2.015 -5.626 -2.800
-5.562 -0.774 3.466
Ni Ho Ac
15 2 2
direct
0.297 0.000 0.703
0.297 0.703 0.000
0.000 0.500 0.000
0.656 0.656 0.161
0.000 0.297 0.703
0.703 0.000 0.297
0.344 0.344 0.839
0.161 0.656 0.656
0.000 0.000 0.500
0.000 0.703 0.297
0.656 0.161 0.656
0.500 0.000 0.000
0.839 0.344 0.344
0.703 0.297 0.000
0.344 0.839 0.344
0.890 0.890 0.890
0.110 0.110 0.110
0.357 0.357 0.357
0.643 0.643 0.643
```

Computed properties:
The space-group type is R-3m, No. 166. The calculation puts the energy of formation from the pure elements at -3.4 eV/f.u.

***

Here is a relaxed structure of AcHo3Ni from Alexandria via LeMat-Bulk. Energies are from PBE.

Structure (POSCAR):
```
AcHo3Ni
1.0
-0.978 -4.231 3.174
3.267 -3.022 -3.021
4.160 1.378 3.119
Ho Ac Ni
3 1 1
direct
0.500 0.000 0.000
0.000 0.000 0.500
0.000 0.500 0.000
0.500 0.500 0.500
0.000 0.000 0.000
```

Computed properties:
The space-group type is Pm-3m, No. 221. The calculation puts the energy of formation from the pure elements at -0.5 eV/f.u.

***

Here is a relaxed structure of AcHoNi4 from Alexandria via LeMat-Bulk. Energies are from PBE.

Structure (POSCAR):
```
AcHoNi4
1.0
-3.829 -2.600 2.371
-0.818 -5.012 -1.116
1.132 -3.664 3.512
Ho Ni Ac
1 4 1
direct
0.250 0.250 0.250
0.624 0.624 0.129
0.129 0.624 0.624
0.624 0.624 0.624
0.624 0.129 0.624
0.000 0.000 0.000
```

Computed properties:
The space-group type is F-43m, No. 216. The polymorph energy (0 for the lowest one) comes out at 0 meV per atom. The calculation puts the energy of formation from the pure elements at -1.7 eV/f.u.

***

Here is a relaxed structure of AcHo2Ni from Alexandria via LeMat-Bulk. Energies are from PBE.

Structure (POSCAR):
```
AcHo2Ni
1.0
3.945 0.000 0.000
1.972 3.416 0.000
1.972 1.139 9.101
Ac Ho Ni
1 2 1
direct
0.502 0.502 0.494
0.280 0.280 0.161
0.053 0.053 0.842
0.666 0.666 0.003
```

Computed properties:
The space-group type is R3m, No. 160. The polymorph energy (0 for the lowest one) comes out at 10 meV per atom. The calculation puts the energy of formation from the pure elements at -0.5 eV/f.u.